## Ac4Ni2Cl5 (PBE)

Data for crystalline Ac4Ni2Cl5 at its relaxed geometry.

Values from the calculation:
- Total magnetic moment: 0.51 μB/f.u.
- Crystal system: orthorhombic
- ΔE_f (raw): -83.5 kJ per mole of atoms

abc: 4.7957 7.1822 10.7709
angles: 109.48 102.86 90.00
Closest atoms and distances in Å follow each position.
Atoms (fractional coordinates):
Ac 0.6714 0.6714 0.3428  6 Cl 3.04-3.22
Ac 0.0000 0.2535 0.0000  2 Ni 2.88, 2 Cl 3.01
Ac 0.3286 0.3286 0.6572  6 Cl 3.04-3.22
Ac 0.0000 0.7465 0.0000  2 Ni 2.88, 2 Cl 3.01
Ni 0.1128 0.1128 0.2257  2 Cl 2.36
Ni 0.8872 0.8872 0.7743  2 Cl 2.36
Cl 0.1921 0.4377 0.3842  1 Ni 2.36
Cl 0.8079 0.5623 0.6158  1 Ni 2.36
Cl 0.1921 0.9465 0.3842  1 Ni 2.36
Cl 0.5000 0.0000 0.0000  4 Ac 3.01, 4 Ni 3.27
Cl 0.8079 0.0535 0.6158  1 Ni 2.36

## AcNiCl6 (PBE)

Data for crystalline AcNiCl6 at its relaxed geometry.

Values from the calculation:
- Total magnetic moment: 0.97 μB/f.u.
- Crystal system: triclinic
- ΔE_f (raw): -128.6 kJ per mole of atoms

abc: 5.4758 7.1019 6.1662
angles: 73.77 79.62 61.63
Closest atoms and distances in Å follow each position.
Atoms (fractional coordinates):
Ac 0.5000 0.5000 0.5000  8 Cl 2.98-3.20
Ni 0.0000 0.0000 0.0000  4 Cl 2.20-2.25
Cl 0.0408 0.3386 0.7393  1 Ni 2.58
Cl 0.7545 0.0264 0.7370  1 Ni 2.20
Cl 0.6157 0.2400 0.1568  1 Ni 2.25
Cl 0.2455 0.9736 0.2630  1 Ni 2.20
Cl 0.9592 0.6614 0.2607  1 Ni 2.58
Cl 0.3843 0.7600 0.8432  1 Ni 2.25

## Ac6Ni2OsCl3 (PBE)

Data for crystalline Ac6Ni2OsCl3 at its relaxed geometry.

Values from the calculation:
- Total magnetic moment: 0.00 μB/f.u.
- Crystal system: monoclinic
- ΔE_f (raw): -89.9 kJ per mole of atoms

abc: 4.3126 9.3760 10.3195
angles: 109.99 102.06 90.00
Closest atoms and distances in Å follow each position.
Atoms (fractional coordinates):
Ac 0.3459 0.8908 0.6917  1 Os 2.92, 2 Ni 2.98
Ac 0.6767 0.5556 0.3534  3 Ni 2.92-2.94
Ac 0.6541 0.1092 0.3083  1 Os 2.92, 2 Ni 2.98
Ac 0.0087 0.2202 0.0174  2 Os 2.95, 1 Ni 3.03
Ac 0.9913 0.7798 0.9826  2 Os 2.95, 1 Ni 3.03
Ac 0.3233 0.4444 0.6466  3 Ni 2.92-2.94
Ni 0.8309 0.6619 0.6619  6 Ac 2.92-3.03
Ni 0.1691 0.3381 0.3381  6 Ac 2.92-3.03
Os 0.5000 0.0000 0.0000  6 Ac 2.92-2.95
Cl 0.5000 0.5000 0.0000  6 Ac 3.42-3.45
Cl 0.8343 0.1726 0.6686  6 Ac 3.39-3.48
Cl 0.1657 0.8274 0.3314  6 Ac 3.39-3.48